# 1
{
  "formula": "Ag5Cl2F3",
  "functional": "PBE",
  "state": "optimized geometry",
  "lattice": [[6.329, -1.931, 0.000], [6.329, 1.931, 0.000], [-5.160, 0.000, 7.498]],
  "species": ["Ag", "Ag", "Ag", "Ag", "Ag", "Cl", "Cl", "F", "F", "F"],
  "frac_coords": [[0.000, 0.000, 0.000], [0.094, 0.094, 0.431], [0.293, 0.293, 0.193], [0.707, 0.707, 0.807], [0.906, 0.906, 0.569], [0.330, 0.330, 0.733], [0.670, 0.670, 0.267], [0.112, 0.112, 0.856], [0.500, 0.500, 0.500], [0.888, 0.888, 0.144]],
  "dos_at_fermi_per_ev_cell": 0.61,
  "final_energy_ev_per_atom": -3.11,
  "rho_g_cm3": 6.047
}



# 2
{
  "formula": "MgI2BrN",
  "functional": "PBE",
  "state": "optimized geometry",
  "lattice": [[5.864, 0.000, 0.000], [0.000, 5.864, 0.000], [0.000, 0.000, 3.994]],
  "species": ["Mg", "I", "I", "Br", "N"],
  "frac_coords": [[0.000, 0.000, 0.000], [0.000, 0.500, 0.000], [0.500, 0.000, 0.000], [0.500, 0.500, 0.500], [0.000, 0.000, 0.500]],
  "dos_at_fermi_per_ev_cell": 8.54,
  "relative_energy_mev_per_atom": 0,
  "final_energy_ev_per_atom": -2.31,
  "rho_g_cm3": 4.498
}